A geometry-optimized HgSe2SBr structure, computed with PBE.

a b c (Å): 5.323 5.323 5.733
angles (deg): 90.00 90.00 90.00
Space group P4/mmm (No. 123)
Unique sites:
Hg1 0.000 0.000 0.000 x1
Se1 0.000 0.500 0.000 x2
S1 0.500 0.500 0.500 x1
Br1 0.000 0.000 0.500 x1

Calculated values
E above lowest polymorph: 514 meV/atom
formation energy without anion corrections: 4.69 eV per formula unit

***

A geometry-optimized Ba3Rh structure, computed with PBE.

a b c (Å): 6.181 6.181 16.751
angles (deg): 90.00 90.00 90.00
Space group I4/mmm (No. 139)
Unique sites:
Ba1 0.000 0.000 0.153 x4
Ba2 0.000 0.500 0.000 x4
Ba3 0.000 0.500 0.250 x4
Rh1 0.000 0.000 0.336 x4

Calculated values
ΔE_f: 0.234 eV per atom

***

A geometry-optimized RbInSnI4 structure, computed with PBE.

a b c (Å): 6.241 6.241 17.961
angles (deg): 90.00 90.00 90.00
Space group I4mm (No. 107)
Unique sites:
Rb1 0.000 0.000 0.000 x2
In1 0.000 0.000 0.728 x2
Sn1 0.000 0.000 0.367 x2
I1 0.000 0.000 0.200 x2
I2 0.000 0.000 0.555 x2
I3 0.000 0.500 0.371 x4

Calculated values
formation energy without anion corrections: -5.06 eV per formula unit

***

A geometry-optimized TaBe2Si structure, computed with PBE.

a b c (Å): 5.185 8.571 2.666
angles (deg): 90.00 118.85 90.00
Space group C2/m (No. 12)
Unique sites:
Ta1 0.000 0.000 0.000 x2
Be1 0.250 0.250 0.500 x4
Si1 0.000 0.500 0.000 x2

Calculated values
formation energy without anion corrections: 0.57 eV per formula unit

***

A geometry-optimized TeRhCl2 structure, computed with PBE.

a b c (Å): 3.4316 3.4316 28.6945
angles (deg): 90.00 90.00 120.00
Space group R-3m (No. 166, hexagonal axes)
Unique sites:
Te1 0.0000 0.0000 0.0000 x3
Rh1 0.0000 0.0000 0.5000 x3
Cl1 0.0000 0.0000 0.2160 x6

Calculated values
E above lowest polymorph: 377 meV/atom
formation energy without anion corrections: -0.14 eV per formula unit

***

A geometry-optimized Na3Cr3InSe8 structure, computed with PBE.

a b c (Å): 7.5599 7.5599 20.7855
angles (deg): 90.00 90.00 120.00
Space group R-3m (No. 166, hexagonal axes)
Unique sites:
Na1 0.0000 0.5000 0.0000 x9
Cr1 0.0000 0.5000 0.5000 x9
In1 0.0000 0.0000 0.5000 x3
Se1 0.0000 0.0000 0.2328 x6
Se2 0.0247 0.5124 0.7638 x18

Calculated values
formation energy without anion corrections: -10.54 eV per formula unit

***

A geometry-optimized YTmTh structure, computed with PBE.

a b c (Å): 15.333 3.591 7.088
angles (deg): 90.00 103.60 90.00
Space group C2/m (No. 12)
Unique sites:
Y1 0.167 0.000 0.087 x4
Tm1 0.001 0.500 0.257 x4
Th1 0.166 0.000 0.580 x4

Calculated values
E above lowest polymorph: 13 meV/atom
ΔE_f: 0.035 eV per atom

***

A geometry-optimized CoPOs2 structure, computed with PBE.

a b c (Å): 5.995 5.995 5.995
angles (deg): 90.00 90.00 90.00
Space group F-43m (No. 216)
Unique sites:
Co1 0.000 0.000 0.000 x4
P1 0.250 0.250 0.750 x4
Os1 0.000 0.000 0.500 x4
Os2 0.250 0.250 0.250 x4

Calculated values
ΔE_f: 0.524 eV per atom